Entry 1:
The following is a DFT calculation (PBE-GGA) of PrCdIn2 after structural relaxation.

Unit cell a=4.8052 b=4.8052 c=6.1420 alpha=66.97 beta=66.97 gamma=60.00
Last column: nearest neighbours and their distance in Å.
Positions (direct):
Cd  0.5000  0.5000  0.5000  6 In 2.95
In  0.2275  0.2275  0.3174  3 Cd 2.95, 3 Pr 3.27
In  0.7725  0.7725  0.6826  3 Cd 2.95, 3 Pr 3.27
Pr  0.0000  0.0000  0.0000  6 In 3.27

Calculated values
DFT total energy, eV per formula unit: -12.38
D(E_F), states/eV/f.u.: 1.68
Distance to the lowest polymorph of the same formula, meV per atom: 122

***

Entry 2:
The following is a DFT calculation (PBE-GGA) of Pr3Cd8In3 after structural relaxation.

Unit cell a=4.7736 b=9.1134 c=9.1134 alpha=72.98 beta=74.82 gamma=74.82
Last column: nearest neighbours and their distance in Å.
Positions (direct):
Cd  0.8401  0.7871  0.5326  4 Cd 2.76-2.91, 1 In 2.89
Cd  0.8401  0.5326  0.7871  4 Cd 2.76-2.91, 1 In 2.89
Cd  0.3552  0.9189  0.3707  3 Cd 2.88-2.91, 3 In 3.13-3.17
Cd  0.3552  0.3707  0.9189  3 Cd 2.88-2.91, 3 In 3.13-3.17
Cd  0.6448  0.0811  0.6293  3 Cd 2.88-2.91, 3 In 3.13-3.17
Cd  0.1599  0.2129  0.4674  4 Cd 2.76-2.91, 1 In 2.89
Cd  0.1599  0.4674  0.2129  4 Cd 2.76-2.91, 1 In 2.89
Cd  0.6448  0.6293  0.0811  3 Cd 2.88-2.91, 3 In 3.13-3.17
In  0.0000  0.7987  0.2013  6 Cd 2.89-3.13, 2 In 3.23
In  0.5000  0.0000  0.0000  4 Cd 3.17, 4 In 3.23
In  0.0000  0.2013  0.7987  6 Cd 2.89-3.13, 2 In 3.23
Pr  0.5000  0.5000  0.5000  12 Cd 3.54-3.58
Pr  0.8088  0.1912  0.1912  4 In 3.43-3.57, 10 Cd 3.44-3.74
Pr  0.1912  0.8088  0.8088  4 In 3.43-3.57, 10 Cd 3.44-3.74

Calculated values
DFT total energy, eV per formula unit: -33.97
D(E_F), states/eV/f.u.: 7.63

***

Entry 3:
The following is a DFT calculation (PBE-GGA) of Pr12Cd3In after structural relaxation.

Unit cell a=5.0343 b=5.0343 c=20.0667 alpha=90.00 beta=90.00 gamma=90.00
Last column: nearest neighbours and their distance in Å.
Positions (direct):
Cd  0.0000  0.0000  0.5000  12 Pr 3.55-3.56
Cd  0.0000  0.0000  0.7498  12 Pr 3.55-3.57
Cd  0.0000  0.0000  0.2502  12 Pr 3.55-3.57
Pr  0.5000  0.0000  0.1243  2 In 3.54, 8 Pr 3.54-3.56, 2 Cd 3.57
Pr  0.5000  0.0000  0.6251  4 Cd 3.55, 8 Pr 3.55-3.56
Pr  0.0000  0.5000  0.8757  2 In 3.54, 8 Pr 3.54-3.56, 2 Cd 3.57
Pr  0.5000  0.5000  0.7499  8 Pr 3.55-3.56, 4 Cd 3.56
Pr  0.0000  0.5000  0.6251  4 Cd 3.55, 8 Pr 3.55-3.56
Pr  0.5000  0.0000  0.3749  4 Cd 3.55, 8 Pr 3.55-3.56
Pr  0.0000  0.5000  0.1243  2 In 3.54, 8 Pr 3.54-3.56, 2 Cd 3.57
Pr  0.5000  0.5000  0.2501  8 Pr 3.55-3.56, 4 Cd 3.56
Pr  0.0000  0.5000  0.3749  4 Cd 3.55, 8 Pr 3.55-3.56
Pr  0.5000  0.5000  0.5000  8 Pr 3.55, 4 Cd 3.56
Pr  0.5000  0.5000  0.0000  8 Pr 3.54, 4 In 3.56
Pr  0.5000  0.0000  0.8757  2 In 3.54, 8 Pr 3.54-3.56, 2 Cd 3.57
In  0.0000  0.0000  0.0000  12 Pr 3.54-3.56

Calculated values
DFT total energy, eV per formula unit: -65.39
D(E_F), states/eV/f.u.: 22.00

***

Entry 4:
The following is a DFT calculation (PBE-GGA) of PrCd2In3 after structural relaxation.

Unit cell a=4.6787 b=4.6752 c=7.3883 alpha=108.44 beta=90.00 gamma=90.00
Last column: nearest neighbours and their distance in Å.
Positions (direct):
In  0.5000  0.8289  0.6578  6 Cd 3.17-3.31, 4 In 3.22-3.35, 2 Pr 3.35
In  0.5000  0.5000  0.0000  4 Pr 3.31, 4 In 3.35, 4 Cd 3.40
In  0.5000  0.1711  0.3422  6 Cd 3.17-3.31, 4 In 3.22-3.35, 2 Pr 3.35
Cd  0.0000  0.3241  0.6482  2 Cd 3.13, 8 In 3.17-3.40, 2 Pr 3.40
Cd  0.0000  0.6759  0.3518  2 Cd 3.13, 8 In 3.17-3.40, 2 Pr 3.40
Pr  0.0000  0.0000  0.0000  8 In 3.31-3.35, 4 Cd 3.40

Calculated values
DFT total energy, eV per formula unit: -16.42
D(E_F), states/eV/f.u.: 2.37

***

Entry 5:
The following is a DFT calculation (PBE-GGA) of Pr3Cd2In after structural relaxation.

Unit cell a=3.8392 b=3.8392 c=11.9960 alpha=90.00 beta=90.00 gamma=90.00
Last column: nearest neighbours and their distance in Å.
Positions (direct):
Pr  0.0000  0.0000  0.3317  4 In 3.38, 4 Cd 3.39
Pr  0.0000  0.0000  0.0000  8 Cd 3.34
Pr  0.0000  0.0000  0.6683  4 In 3.38, 4 Cd 3.39
Cd  0.5000  0.5000  0.8372  8 Pr 3.34-3.39
Cd  0.5000  0.5000  0.1628  8 Pr 3.34-3.39
In  0.5000  0.5000  0.5000  8 Pr 3.38

Calculated values
DFT total energy, eV per formula unit: -21.13
D(E_F), states/eV/f.u.: 8.36
Distance to the lowest polymorph of the same formula, meV per atom: 3

***

Entry 6:
The following is a DFT calculation (PBE-GGA) of Pr2Cd2In3 after structural relaxation.

Unit cell a=4.7539 b=7.7325 c=10.7008 alpha=90.00 beta=102.83 gamma=90.00
Last column: nearest neighbours and their distance in Å.
Positions (direct):
Cd  0.6875  0.9437  0.3749  4 In 2.80-3.02, 1 Cd 3.00
Cd  0.3125  0.0563  0.6251  4 In 2.80-3.02, 1 Cd 3.00
Cd  0.6875  0.5563  0.3749  4 In 2.80-3.02, 1 Cd 3.00
Cd  0.3125  0.4437  0.6251  4 In 2.80-3.02, 1 Cd 3.00
In  0.4388  0.9322  0.8776  2 In 2.76-2.82, 1 Cd 2.80
In  0.5612  0.4322  0.1224  2 In 2.76-2.82, 1 Cd 2.80
In  0.5612  0.0678  0.1224  2 In 2.76-2.82, 1 Cd 2.80
In  0.2228  0.7500  0.4456  6 Cd 2.90-3.02
In  0.4388  0.5678  0.8776  2 In 2.76-2.82, 1 Cd 2.80
In  0.7772  0.2500  0.5544  6 Cd 2.90-3.02
Pr  0.8435  0.7500  0.6871  6 In 3.40-3.46, 6 Cd 3.42-3.58
Pr  0.9522  0.2500  0.9045  9 In 3.43-3.65
Pr  0.0478  0.7500  0.0955  9 In 3.43-3.65
Pr  0.1565  0.2500  0.3129  6 In 3.40-3.46, 6 Cd 3.42-3.58

Calculated values
DFT total energy, eV per formula unit: -22.30
D(E_F), states/eV/f.u.: 3.07

***

Entry 7:
The following is a DFT calculation (PBE-GGA) of PrCd2In after structural relaxation.

Unit cell a=5.2489 b=5.2489 c=5.2489 alpha=60.00 beta=60.00 gamma=60.00
Last column: nearest neighbours and their distance in Å.
Positions (direct):
Pr  0.5000  0.5000  0.5000  8 Cd 3.21
Cd  0.2500  0.2500  0.2500  4 Pr 3.21, 4 In 3.21
Cd  0.7500  0.7500  0.7500  4 In 3.21, 4 Pr 3.21
In  0.0000  0.0000  0.0000  8 Cd 3.21

Calculated values
DFT total energy, eV per formula unit: -10.48
D(E_F), states/eV/f.u.: 2.00
Distance to the lowest polymorph of the same formula, meV per atom: 62

***

Entry 8:
The following is a DFT calculation (PBE-GGA) of Pr11Cd4In9 after structural relaxation.

Unit cell a=3.8925 b=13.9647 c=13.9647 alpha=112.88 beta=90.00 gamma=90.00
Last column: nearest neighbours and their distance in Å.
Positions (direct):
Cd  0.5000  0.7501  0.5528  6 Pr 3.17-3.21, 3 In 3.27-3.30
Cd  0.5000  0.5528  0.7501  6 Pr 3.17-3.21, 3 In 3.27-3.30
Cd  0.5000  0.4472  0.2499  6 Pr 3.17-3.21, 3 In 3.27-3.30
Cd  0.5000  0.2499  0.4472  6 Pr 3.17-3.21, 3 In 3.27-3.30
In  0.5000  0.9382  0.7861  1 Cd 3.30, 8 Pr 3.38-3.52, 1 In 3.54
In  0.5000  0.2139  0.0618  1 Cd 3.30, 8 Pr 3.38-3.52, 1 In 3.54
In  0.5000  0.0618  0.2139  1 Cd 3.30, 8 Pr 3.38-3.52, 1 In 3.54
In  0.5000  0.5000  0.5000  4 Cd 3.28
In  0.5000  0.7861  0.9382  1 Cd 3.30, 8 Pr 3.38-3.52, 1 In 3.54
In  0.5000  0.8405  0.3691  1 In 3.24, 1 Cd 3.27, 8 Pr 3.41-3.47
In  0.5000  0.6309  0.1595  1 In 3.24, 1 Cd 3.27, 8 Pr 3.41-3.47
In  0.5000  0.1595  0.6309  1 In 3.24, 1 Cd 3.27, 8 Pr 3.41-3.47
In  0.5000  0.3691  0.8405  1 In 3.24, 1 Cd 3.27, 8 Pr 3.41-3.47
Pr  0.0000  0.7170  0.7170  4 Cd 3.18, 4 In 3.46
Pr  0.0000  0.9443  0.5905  2 Cd 3.21, 6 In 3.38-3.46, 1 Pr 3.45
Pr  0.0000  0.3624  0.6376  4 Cd 3.17, 4 In 3.41
Pr  0.0000  0.0557  0.4095  2 Cd 3.21, 6 In 3.38-3.46, 1 Pr 3.45
Pr  0.0000  0.4095  0.0557  2 Cd 3.21, 6 In 3.38-3.46, 1 Pr 3.45
Pr  0.0000  0.0000  0.0000  8 In 3.38, 2 Pr 3.78
Pr  0.0000  0.1625  0.8375  8 In 3.47-3.52, 3 Pr 3.61-3.78
Pr  0.0000  0.6376  0.3624  4 Cd 3.17, 4 In 3.41
Pr  0.0000  0.2830  0.2830  4 Cd 3.18, 4 In 3.46
Pr  0.0000  0.5905  0.9443  2 Cd 3.21, 6 In 3.38-3.46, 1 Pr 3.45
Pr  0.0000  0.8375  0.1625  8 In 3.47-3.52, 3 Pr 3.61-3.78

Calculated values
DFT total energy, eV per formula unit: -90.65
D(E_F), states/eV/f.u.: 19.73

***

Entry 9:
The following is a DFT calculation (PBE-GGA) of PrCdIn2 after structural relaxation.

Unit cell a=5.3227 b=5.3227 c=5.3227 alpha=60.00 beta=60.00 gamma=60.00
Last column: nearest neighbours and their distance in Å.
Positions (direct):
In  0.2500  0.2500  0.2500  4 Cd 3.26, 4 Pr 3.26
In  0.7500  0.7500  0.7500  4 Cd 3.26, 4 Pr 3.26
Cd  0.0000  0.0000  0.0000  8 In 3.26
Pr  0.5000  0.5000  0.5000  8 In 3.26

Calculated values
DFT total energy, eV per formula unit: -12.10
D(E_F), states/eV/f.u.: 3.00
Distance to the lowest polymorph of the same formula, meV per atom: 191

***

Entry 10:
The following is a DFT calculation (PBE-GGA) of Pr2CdIn5 after structural relaxation.

Unit cell a=6.6612 b=6.6612 c=6.6612 alpha=90.55 beta=119.68 gamma=119.68
Last column: nearest neighbours and their distance in Å.
Positions (direct):
In  0.0000  0.7774  0.2781  2 Cd 3.33, 6 In 3.33-3.35, 4 Pr 3.33
In  0.0000  0.2781  0.7774  2 Cd 3.33, 6 In 3.33-3.35, 4 Pr 3.33
In  0.5006  0.2781  0.2781  2 Cd 3.33, 6 In 3.33-3.35, 4 Pr 3.33
In  0.4994  0.7774  0.7774  2 Cd 3.33, 6 In 3.33-3.35, 4 Pr 3.33
In  0.0000  0.2771  0.2771  8 In 3.33, 4 Pr 3.35
Pr  0.5000  0.7777  0.2777  10 In 3.33-3.35, 2 Cd 3.35
Pr  0.5000  0.2777  0.7777  10 In 3.33-3.35, 2 Cd 3.35
Cd  0.0000  0.7785  0.7785  8 In 3.33, 4 Pr 3.35

Calculated values
DFT total energy, eV per formula unit: -27.73
D(E_F), states/eV/f.u.: 4.87

***

Table of formation energy (eV/atom), in record order: -0.302 -0.292 -0.159 -0.265 -0.370 -0.385 -0.283 -0.407 -0.233 -0.446